# 1
Computed, not measured: a geometry-optimized MnTeS2 structure at the GGA-PBE level of DFT.

The value obtained for the uncorrected formation energy is 0.078 eV per atom. As for the density: 4.726 g/cm³. The value obtained for the density of states at the Fermi level is 16.630 states/eV per cell.

The space group is I-42d (No. 122) and the conventional cell measures 6.2015, 6.2015 and 9.0148 Å, with angles of 90.00, 90.00 and 90.00 degrees. The inequivalent atoms are Mn at (0.0000, 0.0000, 0.0000), Te at (0.0000, 0.0000, 0.5000) and S at (0.1449, 0.2500, 0.1250).

=====

# 2
Computed, not measured: a geometry-optimized AlMo3 structure at the GGA-PBE level of DFT.

As for the density: 5.362 g/cm³. The value obtained for the polymorph energy (0 for the lowest one) is 2.944 eV/atom. Its formation energy is 2.69 eV per atom. The value obtained for the density of states at the Fermi level is 7.307 states/eV per cell.

The space group is Pm-3m (No. 221) and the conventional cell measures 4.6025, 4.6025 and 4.6025 Å, with angles of 90.00, 90.00 and 90.00 degrees. The inequivalent atoms are Al at (0.0000, 0.0000, 0.0000) and Mo at (0.0000, 0.0000, 0.5000).

=====

# 3
Computed, not measured: a geometry-optimized YAuSe2 structure at the GGA-PBE level of DFT.

The value obtained for the uncorrected formation energy is -0.948 eV per atom. As for the density: 8.492 g/cm³. The value obtained for the density of states at the Fermi level is 0.199 states/eV per cell.

The space group is I4/mcm (No. 140) and the conventional cell measures 6.8926, 6.8926 and 7.3065 Å, with angles of 90.00, 90.00 and 90.00 degrees. The inequivalent atoms are Y at (0.0000, 0.0000, 0.2500), Au at (0.0000, 0.5000, 0.2500) and Se at (0.1998, 0.3002, 0.0000).

=====

# 4
Computed, not measured: a geometry-optimized TaFeAu2 structure at the GGA-PBE level of DFT.

As for the density: 15.686 g/cm³. The value obtained for the polymorph energy (0 for the lowest one) is 0.140 eV/atom. Its formation energy is 0.15 eV per atom. The value obtained for the density of states at the Fermi level is 6.300 states/eV per cell.

The space group is Cmmm (No. 65) and the conventional cell measures 5.8393, 8.0516 and 2.8404 Å, with angles of 90.00, 90.00 and 90.00 degrees. The inequivalent atoms are Ta at (0.0000, 0.0000, 0.0000), Fe at (0.0000, 0.5000, 0.0000) and Au at (0.2500, 0.2500, 0.5000).

=====

# 5
Computed, not measured: a geometry-optimized LiZrMnPt structure at the GGA-PBE level of DFT.

As for the density: 8.701 g/cm³. Its formation energy is -0.36 eV per atom. The value obtained for the density of states at the Fermi level is 17.358 states/eV per cell.

The space group is F-43m (No. 216) and the conventional cell measures 6.4295, 6.4295 and 6.4295 Å, with angles of 90.00, 90.00 and 90.00 degrees. The inequivalent atoms are Li at (0.0000, 0.0000, 0.0000), Zr at (0.2500, 0.2500, 0.7500), Mn at (0.2500, 0.2500, 0.2500) and Pt at (0.0000, 0.0000, 0.5000).

=====

# 6
Computed, not measured: a geometry-optimized HoBe9Os2 structure at the GGA-PBE level of DFT.

As for the density: 8.499 g/cm³. Its formation energy is -0.26 eV per atom. The value obtained for the density of states at the Fermi level is 6.682 states/eV per cell.

The space group is P6_3/mmc (No. 194) and the conventional cell measures 4.4468, 4.4468 and 14.2948 Å, with angles of 90.00, 90.00 and 120.00 degrees. The inequivalent atoms are Ho at (0.3333, 0.6667, 0.2500), Be at (0.0000, 0.0000, 0.0000), Be at (0.0000, 0.0000, 0.2500), Be at (0.1696, 0.3391, 0.6175), Be at (0.3333, 0.6667, 0.7500) and Os at (0.3333, 0.6667, 0.0343).

=====

# 7
Computed, not measured: a geometry-optimized MnBiHPd2 structure at the GGA-PBE level of DFT.

The uncorrected energy is -5.418 eV/atom. As for the density: 10.743 g/cm³. The value obtained for the density of states at the Fermi level is 2.382 states/eV per cell.

The space group is P4/mmm (No. 123) and the conventional cell measures 4.1643, 4.1643 and 4.2586 Å, with angles of 90.00, 90.00 and 90.00 degrees. The inequivalent atoms are Mn at (0.0000, 0.0000, 0.0000), Bi at (0.5000, 0.5000, 0.0000), H at (0.0000, 0.0000, 0.5000) and Pd at (0.0000, 0.5000, 0.5000).

=====

# 8
Computed, not measured: a geometry-optimized BaBeGa structure at the GGA-PBE level of DFT.

As for the density: 4.479 g/cm³. The value obtained for the polymorph energy (0 for the lowest one) is 0.037 eV/atom. Its formation energy is -0.13 eV per atom. The value obtained for the density of states at the Fermi level is 2.193 states/eV per cell.

The space group is P-1 (No. 2) and the conventional cell measures 4.3472, 6.2652 and 6.3372 Å, with angles of 104.61, 97.39 and 102.20 degrees. The inequivalent atoms are Ba at (0.1742, 0.1875, 0.3075), Be at (0.0713, 0.3946, 0.8593) and Ga at (0.4570, 0.7032, 0.1347).

=====

# 9
Computed, not measured: a geometry-optimized AsPb4Cl5 structure at the GGA-PBE level of DFT.

The value obtained for the uncorrected formation energy is -0.870 eV per atom. As for the density: 5.408 g/cm³.

The space group is C2/m (No. 12) and the conventional cell measures 19.0738, 4.4117 and 8.5146 Å, with angles of 90.00, 112.09 and 90.00 degrees. The inequivalent atoms are As at (0.0000, 0.0000, 0.0000), Pb at (0.0017, 0.5000, 0.2477), Pb at (0.1678, 0.0000, 0.1428), Cl at (0.0000, 0.0000, 0.5000), Cl at (0.1645, 0.5000, 0.9065) and Cl at (0.1665, 0.5000, 0.3674).

=====

# 10
Computed, not measured: a geometry-optimized AlRuW2 structure at the GGA-PBE level of DFT.

As for the density: 13.564 g/cm³. Its formation energy is -0.08 eV per atom. The value obtained for the density of states at the Fermi level is 3.557 states/eV per cell.

The space group is P4mm (No. 99) and the conventional cell measures 3.1546, 3.1546 and 6.0985 Å, with angles of 90.00, 90.00 and 90.00 degrees. The inequivalent atoms are Al at (0.0000, 0.0000, 0.0000), Ru at (0.5000, 0.5000, 0.2337), W at (0.0000, 0.0000, 0.4982) and W at (0.5000, 0.5000, 0.7404).

=====

# 11
Computed, not measured: a geometry-optimized AgHAu2 structure at the GGA-PBE level of DFT.

As for the density: 14.089 g/cm³. The value obtained for the polymorph energy (0 for the lowest one) is 0.000 eV/atom. The value obtained for the density of states at the Fermi level is 1.937 states/eV per cell.

The space group is I-42d (No. 122) and the conventional cell measures 6.3583, 6.3583 and 5.8633 Å, with angles of 90.00, 90.00 and 90.00 degrees. The inequivalent atoms are Ag at (0.0000, 0.0000, 0.0000), H at (0.0000, 0.0000, 0.5000) and Au at (0.1431, 0.2500, 0.6250).

=====

# 12
Computed, not measured: a geometry-optimized LiHfZnHg structure at the GGA-PBE level of DFT.

As for the density: 10.294 g/cm³. Its formation energy is -0.12 eV per atom. The value obtained for the density of states at the Fermi level is 8.977 states/eV per cell.

The space group is F-43m (No. 216) and the conventional cell measures 6.6288, 6.6288 and 6.6288 Å, with angles of 90.00, 90.00 and 90.00 degrees. The inequivalent atoms are Li at (0.0000, 0.0000, 0.0000), Hf at (0.0000, 0.0000, 0.5000), Zn at (0.2500, 0.2500, 0.7500) and Hg at (0.2500, 0.2500, 0.2500).

=====

# 13
Computed, not measured: a geometry-optimized USeICl structure at the GGA-PBE level of DFT.

The value obtained for the uncorrected formation energy is -0.981 eV per atom. As for the density: 5.536 g/cm³. The value obtained for the density of states at the Fermi level is 26.673 states/eV per cell.

The space group is R3m (No. 160, hexagonal axes) and the conventional cell measures 4.7058, 4.7058 and 22.4859 Å, with angles of 90.00, 90.00 and 120.00 degrees. The inequivalent atoms are U at (0.0000, 0.0000, 0.0000), Se at (0.0000, 0.0000, 0.3595), I at (0.0000, 0.0000, 0.1314) and Cl at (0.0000, 0.0000, 0.6074).

=====

# 14
Computed, not measured: a geometry-optimized RuPtSe4 structure at the GGA-PBE level of DFT.

The value obtained for the uncorrected formation energy is 1.213 eV per atom. As for the density: 8.558 g/cm³. The value obtained for the polymorph energy (0 for the lowest one) is 1.483 eV/atom. The value obtained for the density of states at the Fermi level is 35.348 states/eV per cell.

The space group is F-43m (No. 216) and the conventional cell measures 7.8025, 7.8025 and 7.8025 Å, with angles of 90.00, 90.00 and 90.00 degrees. The inequivalent atoms are Ru at (0.0000, 0.0000, 0.0000), Pt at (0.2500, 0.2500, 0.2500) and Se at (0.1242, 0.1242, 0.6242).

=====

# 15
Computed, not measured: a geometry-optimized LaGdEr2 structure at the GGA-PBE level of DFT.

As for the density: 8.019 g/cm³. Its formation energy is 0.03 eV per atom. The value obtained for the density of states at the Fermi level is 6.485 states/eV per cell.

The space group is P4/mmm (No. 123) and the conventional cell measures 5.1024, 5.1024 and 5.0161 Å, with angles of 90.00, 90.00 and 90.00 degrees. The inequivalent atoms are La at (0.0000, 0.0000, 0.0000), Gd at (0.5000, 0.5000, 0.0000) and Er at (0.0000, 0.5000, 0.5000).

=====

# 16
Computed, not measured: a geometry-optimized Tl3Sb2Pb4 structure at the GGA-PBE level of DFT.

The value obtained for the uncorrected formation energy is 0.032 eV per atom. As for the density: 10.080 g/cm³. The value obtained for the polymorph energy (0 for the lowest one) is 0.007 eV/atom. The value obtained for the density of states at the Fermi level is 6.856 states/eV per cell.

The space group is C2/m (No. 12) and the conventional cell measures 9.6336, 5.7593 and 10.0303 Å, with angles of 90.00, 93.73 and 90.00 degrees. The inequivalent atoms are Tl at (0.0000, 0.0000, 0.0000), Tl at (0.1668, 0.5000, 0.4746), Sb at (0.1778, 0.5000, 0.8049), Pb at (0.0007, 0.0000, 0.6637) and Pb at (0.1587, 0.5000, 0.1278).

=====

# 17
Computed, not measured: a geometry-optimized SrHoZn2Au5 structure at the GGA-PBE level of DFT.

As for the density: 11.652 g/cm³. Its formation energy is -0.45 eV per atom. The value obtained for the density of states at the Fermi level is 4.509 states/eV per cell.

The space group is P4/mmm (No. 123) and the conventional cell measures 4.9458, 4.9458 and 7.9709 Å, with angles of 90.00, 90.00 and 90.00 degrees. The inequivalent atoms are Sr at (0.0000, 0.0000, 0.0000), Ho at (0.0000, 0.0000, 0.5000), Zn at (0.5000, 0.5000, 0.3421), Au at (0.0000, 0.5000, 0.2668) and Au at (0.5000, 0.5000, 0.0000).

=====

# 18
Computed, not measured: a geometry-optimized Sr11Hg9Au4 structure at the GGA-PBE level of DFT.

As for the density: 8.010 g/cm³. Its formation energy is -0.58 eV per atom. The value obtained for the density of states at the Fermi level is 31.252 states/eV per cell.

The space group is Cmmm (No. 65) and the conventional cell measures 15.5147, 23.1797 and 4.1010 Å, with angles of 90.00, 90.00 and 90.00 degrees. The inequivalent atoms are Sr at (0.0000, 0.0000, 0.0000), Sr at (0.0000, 0.1698, 0.0000), Sr at (0.0000, 0.3609, 0.0000), Sr at (0.2184, 0.5000, 0.0000), Sr at (0.2436, 0.1692, 0.0000), Hg at (0.0000, 0.5000, 0.5000), Hg at (0.1146, 0.2599, 0.5000), Hg at (0.1305, 0.0788, 0.5000) and Au at (0.1455, 0.4042, 0.5000).

=====

# 19
Computed, not measured: a geometry-optimized Li2TbPr2Mg5 structure at the GGA-PBE level of DFT.

As for the density: 3.692 g/cm³. Its formation energy is -0.05 eV per atom. The value obtained for the density of states at the Fermi level is 19.722 states/eV per cell.

The space group is P4/mbm (No. 127) and the conventional cell measures 10.7541, 10.7541 and 4.4819 Å, with angles of 90.00, 90.00 and 90.00 degrees. The inequivalent atoms are Li at (0.1133, 0.3867, 0.0000), Tb at (0.0000, 0.0000, 0.0000), Pr at (0.1816, 0.6816, 0.0000), Mg at (0.0000, 0.5000, 0.5000) and Mg at (0.0598, 0.2145, 0.5000).

=====

# 20
Computed, not measured: a geometry-optimized KH2 structure at the GGA-PBE level of DFT.

As for the density: 0.766 g/cm³. The value obtained for the polymorph energy (0 for the lowest one) is 0.231 eV/atom. The value obtained for the density of states at the Fermi level is 4.631 states/eV per cell.

The space group is C2/m (No. 12) and the conventional cell measures 6.4590, 6.4581 and 5.3473 Å, with angles of 90.00, 126.96 and 90.00 degrees. The inequivalent atoms are K at (0.0000, 0.0000, 0.0000) and H at (0.0452, 0.5000, 0.0904).

=====

# 21
Computed, not measured: a geometry-optimized CaTl2Cd structure at the GGA-PBE level of DFT.

As for the density: 8.125 g/cm³. The value obtained for the polymorph energy (0 for the lowest one) is 0.052 eV/atom. Its formation energy is -0.19 eV per atom. The value obtained for the density of states at the Fermi level is 2.072 states/eV per cell.

The space group is Pmm2 (No. 25) and the conventional cell measures 3.9705, 4.1013 and 7.0439 Å, with angles of 90.00, 90.00 and 90.00 degrees. The inequivalent atoms are Ca at (0.0000, 0.0000, 0.0000), Tl at (0.0000, 0.0000, 0.4837), Tl at (0.5000, 0.5000, 0.7425) and Cd at (0.5000, 0.5000, 0.2530).

=====

# 22
Computed, not measured: a geometry-optimized Cd2SiAg structure at the GGA-PBE level of DFT.

The value obtained for the uncorrected formation energy is 0.250 eV per atom. As for the density: 7.582 g/cm³. The value obtained for the density of states at the Fermi level is 1.706 states/eV per cell.

The space group is Cmmm (No. 65) and the conventional cell measures 3.1667, 5.0210 and 9.9395 Å, with angles of 90.00, 90.00 and 90.00 degrees. The inequivalent atoms are Cd at (0.0000, 0.0000, 0.2477), Si at (0.0000, 0.5000, 0.5000) and Ag at (0.0000, 0.5000, 0.0000).

=====

# 23
Computed, not measured: a geometry-optimized CaZnAs2 structure at the GGA-PBE level of DFT.

As for the density: 5.068 g/cm³. Its formation energy is -0.34 eV per atom. The value obtained for the density of states at the Fermi level is 1.587 states/eV per cell.

The space group is P4/mmm (No. 123) and the conventional cell measures 3.7204, 3.7204 and 6.0444 Å, with angles of 90.00, 90.00 and 90.00 degrees. The inequivalent atoms are Ca at (0.0000, 0.0000, 0.0000), Zn at (0.0000, 0.0000, 0.5000) and As at (0.5000, 0.5000, 0.2901).

=====

# 24
Computed, not measured: a geometry-optimized Ce3Si2Rh6 structure at the GGA-PBE level of DFT.

The value obtained for the uncorrected formation energy is -0.800 eV per atom. As for the density: 9.267 g/cm³. The value obtained for the density of states at the Fermi level is 16.832 states/eV per cell.

The space group is Im-3m (No. 229) and the conventional cell measures 9.2211, 9.2211 and 9.2211 Å, with angles of 90.00, 90.00 and 90.00 degrees. The inequivalent atoms are Ce at (0.0000, 0.0000, 0.2797), Si at (0.2500, 0.2500, 0.2500) and Rh at (0.0000, 0.3471, 0.3471).